# 1
First-principles (PBEsol) data for a geometry-optimized Fe2Ni structure, as listed in the Alexandria database.

a b c (Å): 3.958 3.958 2.414
angles (deg): 90.00 90.00 120.00
Fractional coordinates of all 3 atoms:
Fe: 0.333 0.667 0.350
Fe: 0.667 0.333 0.650
Ni: 0.000 0.000 0.000

- Space group: P-3m1
- Crystal system: trigonal
- Energy relative to the elements: 0.090 eV per atom

# 2
First-principles (PBEsol) data for a geometry-optimized Fe3Ni structure, as listed in the Alexandria database.

a b c (Å): 4.599 4.599 4.599
angles (deg): 143.40 129.67 63.82
Fractional coordinates of all 4 atoms:
Fe: 0.000 0.000 0.000
Fe: 0.247 0.747 0.500
Fe: 0.753 0.253 0.500
Ni: 0.500 0.500 0.000

- Space group: Immm
- Crystal system: orthorhombic
- Energy relative to the elements: 0.067 eV per atom

# 3
First-principles (PBEsol) data for a geometry-optimized Fe2Ni structure, as listed in the Alexandria database.

a b c (Å): 4.773 4.773 6.044
angles (deg): 105.41 105.41 29.48
Fractional coordinates of all 6 atoms:
Fe: 0.029 0.029 0.316
Fe: 0.364 0.364 0.977
Fe: 0.636 0.636 0.023
Fe: 0.971 0.971 0.684
Ni: 0.301 0.301 0.358
Ni: 0.699 0.699 0.642

- Space group: C2/m
- Crystal system: monoclinic
- Energy relative to the elements: 0.090 eV per atom

# 4
First-principles (PBEsol) data for a geometry-optimized FeNi3 structure, as listed in the Alexandria database.

a b c (Å): 2.452 2.452 7.005
angles (deg): 90.00 90.00 90.00
Fractional coordinates of all 4 atoms:
Fe: 0.000 0.000 0.000
Ni: 0.000 0.000 0.500
Ni: 0.500 0.500 0.251
Ni: 0.500 0.500 0.749

- Space group: P4/mmm
- Crystal system: tetragonal
- Energy relative to the elements: -0.021 eV per atom

Number 1: ρ 8.6 g/cm3. Number 2: ρ 8.5 g/cm3. Number 3: ρ 8.7 g/cm3. Number 4: ρ 9.1 g/cm3.